# PBE-GGA Sn2TeRh2, optimized geometry
data_Sn2TeRh2
_symmetry_space_group_name_H-M 'P 1'
_symmetry_Int_Tables_number 1
_cell_length_a 4.201
_cell_length_b 4.201
_cell_length_c 12.150
_cell_angle_alpha 90.00
_cell_angle_beta 90.00
_cell_angle_gamma 90.00
loop_
_symmetry_equiv_pos_as_xyz
'x,y,z'
loop_
_atom_site_label
_atom_site_type_symbol
_atom_site_fract_x
_atom_site_fract_y
_atom_site_fract_z
_atom_site_occupancy
Sn1 Sn 0.000 0.500 0.250 1
Sn2 Sn 0.000 0.500 0.750 1
Sn3 Sn 0.500 0.000 0.250 1
Sn4 Sn 0.500 0.000 0.750 1
Te1 Te 0.000 0.000 0.000 1
Te2 Te 0.500 0.500 0.500 1
Rh1 Rh 0.000 0.000 0.385 1
Rh2 Rh 0.000 0.000 0.615 1
Rh3 Rh 0.500 0.500 0.115 1
Rh4 Rh 0.500 0.500 0.885 1
# - space group = I4/mmm
# - calculated density (g/cm3) = 8.842
# - V (Å³/atom) = 21.44
# - total DFT energy (no corrections) (eV per atom) = -5.2511

# PBE-GGA Ca2ReW, optimized geometry
data_Ca2ReW
_symmetry_space_group_name_H-M 'P 1'
_symmetry_Int_Tables_number 1
_cell_length_a 3.921
_cell_length_b 3.921
_cell_length_c 5.155
_cell_angle_alpha 90.00
_cell_angle_beta 90.00
_cell_angle_gamma 90.00
loop_
_symmetry_equiv_pos_as_xyz
'x,y,z'
loop_
_atom_site_label
_atom_site_type_symbol
_atom_site_fract_x
_atom_site_fract_y
_atom_site_fract_z
_atom_site_occupancy
Ca1 Ca 0.000 0.500 0.000 1
Ca2 Ca 0.500 0.000 0.000 1
Re1 Re 0.000 0.000 0.500 1
W1 W 0.500 0.500 0.500 1
# - ΔH_f (0 K) (eV per atom) = 0.850
# - space group = P4/mmm
# - calculated density (g/cm3) = 9.433
# - V (Å³/atom) = 19.81

# PBE-GGA SrHf3Se, optimized geometry
data_SrHf3Se
_symmetry_space_group_name_H-M 'P 1'
_symmetry_Int_Tables_number 1
_cell_length_a 5.116
_cell_length_b 5.116
_cell_length_c 5.116
_cell_angle_alpha 90.00
_cell_angle_beta 90.00
_cell_angle_gamma 90.00
loop_
_symmetry_equiv_pos_as_xyz
'x,y,z'
loop_
_atom_site_label
_atom_site_type_symbol
_atom_site_fract_x
_atom_site_fract_y
_atom_site_fract_z
_atom_site_occupancy
Sr1 Sr 0.000 0.000 0.000 1
Hf1 Hf 0.000 0.500 0.500 1
Hf2 Hf 0.500 0.000 0.500 1
Hf3 Hf 0.500 0.500 0.000 1
Se1 Se 0.500 0.500 0.500 1
# - space group = Pm-3m
# - calculated density (g/cm3) = 8.707
# - V (Å³/atom) = 26.78
# - total DFT energy (no corrections) (eV per atom) = -6.8834

# PBE-GGA Cs2PuIr3O12, optimized geometry
data_Cs2PuIr3O12
_symmetry_space_group_name_H-M 'P 1'
_symmetry_Int_Tables_number 1
_cell_length_a 7.508
_cell_length_b 7.508
_cell_length_c 7.508
_cell_angle_alpha 57.95
_cell_angle_beta 57.95
_cell_angle_gamma 57.95
loop_
_symmetry_equiv_pos_as_xyz
'x,y,z'
loop_
_atom_site_label
_atom_site_type_symbol
_atom_site_fract_x
_atom_site_fract_y
_atom_site_fract_z
_atom_site_occupancy
Cs1 Cs 0.118 0.118 0.118 1
Cs2 Cs 0.882 0.882 0.882 1
Pu1 Pu 0.500 0.500 0.500 1
Ir1 Ir 0.000 0.500 0.500 1
Ir2 Ir 0.500 0.000 0.500 1
Ir3 Ir 0.500 0.500 0.000 1
O1 O 0.172 0.570 0.570 1
O2 O 0.187 0.187 0.576 1
O3 O 0.187 0.576 0.187 1
O4 O 0.424 0.813 0.813 1
O5 O 0.430 0.430 0.828 1
O6 O 0.430 0.828 0.430 1
O7 O 0.570 0.172 0.570 1
O8 O 0.570 0.570 0.172 1
O9 O 0.576 0.187 0.187 1
O10 O 0.813 0.424 0.813 1
O11 O 0.813 0.813 0.424 1
O12 O 0.828 0.430 0.430 1
# - space group = R-3m
# - calculated density (g/cm3) = 7.443
# - V (Å³/atom) = 15.85
# - total DFT energy (no corrections) (eV per atom) = -7.0254

# PBE-GGA HoPaCoN4, optimized geometry
data_HoPaCoN4
_symmetry_space_group_name_H-M 'P 1'
_symmetry_Int_Tables_number 1
_cell_length_a 5.619
_cell_length_b 4.937
_cell_length_c 6.734
_cell_angle_alpha 90.00
_cell_angle_beta 108.46
_cell_angle_gamma 90.00
loop_
_symmetry_equiv_pos_as_xyz
'x,y,z'
loop_
_atom_site_label
_atom_site_type_symbol
_atom_site_fract_x
_atom_site_fract_y
_atom_site_fract_z
_atom_site_occupancy
Ho1 Ho 0.207 0.250 0.439 1
Ho2 Ho 0.793 0.750 0.561 1
Pa1 Pa 0.255 0.250 0.946 1
Pa2 Pa 0.745 0.750 0.054 1
Co1 Co 0.278 0.750 0.215 1
Co2 Co 0.722 0.250 0.785 1
N1 N 0.057 0.750 0.364 1
N2 N 0.092 0.750 0.936 1
N3 N 0.482 0.003 0.752 1
N4 N 0.482 0.497 0.752 1
N5 N 0.518 0.503 0.248 1
N6 N 0.518 0.997 0.248 1
N7 N 0.908 0.250 0.064 1
N8 N 0.943 0.250 0.636 1
# - space group = P2_1/m
# - calculated density (g/cm3) = 9.575
# - V (Å³/atom) = 12.66
# - total DFT energy (no corrections) (eV per atom) = -8.5843

# PBE-GGA Ce3Zn5Au6, optimized geometry
data_Ce3Zn5Au6
_symmetry_space_group_name_H-M 'P 1'
_symmetry_Int_Tables_number 1
_cell_length_a 4.561
_cell_length_b 13.527
_cell_length_c 9.173
_cell_angle_alpha 90.00
_cell_angle_beta 90.00
_cell_angle_gamma 90.00
loop_
_symmetry_equiv_pos_as_xyz
'x,y,z'
loop_
_atom_site_label
_atom_site_type_symbol
_atom_site_fract_x
_atom_site_fract_y
_atom_site_fract_z
_atom_site_occupancy
Ce1 Ce 0.250 0.048 0.246 1
Ce2 Ce 0.250 0.452 0.246 1
Ce3 Ce 0.250 0.750 0.257 1
Ce4 Ce 0.750 0.250 0.743 1
Ce5 Ce 0.750 0.548 0.754 1
Ce6 Ce 0.750 0.952 0.754 1
Zn1 Zn 0.250 0.081 0.598 1
Zn2 Zn 0.250 0.419 0.598 1
Zn3 Zn 0.250 0.615 0.967 1
Zn4 Zn 0.250 0.750 0.757 1
Zn5 Zn 0.250 0.885 0.967 1
Zn6 Zn 0.750 0.115 0.033 1
Zn7 Zn 0.750 0.250 0.243 1
Zn8 Zn 0.750 0.385 0.033 1
Zn9 Zn 0.750 0.581 0.402 1
Zn10 Zn 0.750 0.919 0.402 1
Au1 Au 0.250 0.086 0.880 1
Au2 Au 0.250 0.250 0.073 1
Au3 Au 0.250 0.250 0.445 1
Au4 Au 0.250 0.414 0.880 1
Au5 Au 0.250 0.615 0.541 1
Au6 Au 0.250 0.885 0.541 1
Au7 Au 0.750 0.115 0.459 1
Au8 Au 0.750 0.385 0.459 1
Au9 Au 0.750 0.586 0.120 1
Au10 Au 0.750 0.750 0.555 1
Au11 Au 0.750 0.750 0.927 1
Au12 Au 0.750 0.914 0.120 1
# - ΔH_f (0 K) (eV per atom) = -0.503
# - space group = Pmmn
# - calculated density (g/cm3) = 11.320
# - V (Å³/atom) = 20.21

Looking at magnetization for the records above, in order, we have 0.00 0.00 0.00 0.96 0.00 5.49 μB per cell.